Li2LaHg | Alexandria via LeMat-Bulk | PBEsol | optimized geometry; DFT total energy = -10.75 eV/f.u.; energy of formation from the pure elements = -0.90 eV per formula unit; symmetry = No. 216
1.0
0.000 3.602 3.602
3.602 0.000 3.602
3.602 3.602 0.000
Li La Hg
2 1 1
direct
0.000 0.000 0.000
0.250 0.250 0.250
0.750 0.750 0.750
0.500 0.500 0.500

=====

LiLaHg2 | Alexandria via LeMat-Bulk | PBEsol | optimized geometry; DFT total energy = -10.05 eV/f.u.; E above lowest polymorph = 121 meV per atom; energy of formation from the pure elements = -1.61 eV per formula unit; symmetry = No. 123
1.0
5.294 0.000 0.000
0.000 5.294 0.000
0.000 0.000 3.556
Li La Hg
1 1 2
direct
0.000 0.000 0.000
0.500 0.500 0.000
0.000 0.500 0.500
0.500 0.000 0.500

=====

LiLaHg2 | Alexandria via LeMat-Bulk | PBEsol | optimized geometry; DFT total energy = -10.54 eV/f.u.; E above lowest polymorph = 0 meV per atom; energy of formation from the pure elements = -2.09 eV per formula unit; symmetry = No. 71
1.0
-2.565 2.575 3.634
2.565 -2.575 3.634
2.565 2.575 -3.634
Li La Hg
1 1 2
direct
0.000 0.000 0.000
0.500 0.500 0.000
0.249 0.749 0.500
0.751 0.251 0.500

=====

Li2LaHg | Alexandria via LeMat-Bulk | PBEsol | optimized geometry; DFT total energy = -9.98 eV/f.u.; energy of formation from the pure elements = -0.13 eV per formula unit; symmetry = No. 123
1.0
5.024 0.000 0.000
0.000 5.024 0.000
0.000 0.000 3.474
Li La Hg
2 1 1
direct
0.000 0.500 0.000
0.500 0.000 0.000
0.000 0.000 0.500
0.500 0.500 0.500

=====

LiLaHg2 | Alexandria via LeMat-Bulk | PBEsol | optimized geometry; DFT total energy = -10.27 eV/f.u.; E above lowest polymorph = 67 meV per atom; energy of formation from the pure elements = -1.82 eV per formula unit; symmetry = No. 216
1.0
0.000 3.556 3.556
3.556 0.000 3.556
3.556 3.556 0.000
Li La Hg
1 1 2
direct
0.000 0.000 0.000
0.250 0.250 0.250
0.500 0.500 0.500
0.750 0.750 0.750

=====

Li2LaHg | Alexandria via LeMat-Bulk | PBEsol | optimized geometry; DFT total energy = -10.38 eV/f.u.; energy of formation from the pure elements = -0.54 eV per formula unit; symmetry = No. 47
1.0
3.560 0.000 0.000
0.000 5.203 0.000
0.000 0.000 5.373
Li La Hg
2 1 1
direct
0.000 0.000 0.000
0.500 0.500 0.000
0.000 0.500 0.500
0.500 0.000 0.500

=====

- Which of these has the highest energy of formation from the pure elements?
  number 4